No. 1
# FeAsCl2 | Alexandria via LeMat-Bulk | PBE-GGA | relaxed
data_FeAsCl2
_symmetry_space_group_name_H-M 'P 4 m m'
_symmetry_Int_Tables_number 99
_cell_length_a 3.098
_cell_length_b 3.098
_cell_length_c 8.312
_cell_angle_alpha 90.00
_cell_angle_beta 90.00
_cell_angle_gamma 90.00
loop_
_symmetry_equiv_pos_as_xyz
'x,y,z'
'-y,x,z'
'-x,-y,z'
'y,-x,z'
'-x,y,z'
'y,x,z'
'x,-y,z'
'-y,-x,z'
loop_
_atom_site_label
_atom_site_fract_x
_atom_site_fract_y
_atom_site_fract_z
_atom_site_occupancy
Fe1 0.000 0.000 0.000 1
As1 0.500 0.500 0.203 1
Cl1 0.000 0.000 0.424 1
Cl2 0.500 0.500 0.834 1
# Relative energy among the computed polymorphs ... 284 meV/atom
# N(E_F) ... 4.15 states/eV/f.u.



No. 2
# FeAsCl | Alexandria via LeMat-Bulk | PBE-GGA | relaxed
data_FeAsCl
_symmetry_space_group_name_H-M 'F -4 3 m'
_symmetry_Int_Tables_number 216
_symmetry_space_group_name_Hall 'F -4 2 3'
_cell_length_a 5.817
_cell_length_b 5.817
_cell_length_c 5.817
_cell_angle_alpha 90.00
_cell_angle_beta 90.00
_cell_angle_gamma 90.00
loop_
_atom_site_label
_atom_site_fract_x
_atom_site_fract_y
_atom_site_fract_z
_atom_site_occupancy
Fe1 0.000 0.000 0.000 1
As1 0.250 0.250 0.750 1
Cl1 0.250 0.250 0.250 1
# Relative energy among the computed polymorphs ... 512 meV/atom
# N(E_F) ... 1.19 states/eV/f.u.



No. 3
# FeAsCl2 | Alexandria via LeMat-Bulk | PBE-GGA | relaxed
data_FeAsCl2
_symmetry_space_group_name_H-M 'C 1 2/m 1'
_symmetry_Int_Tables_number 12
_cell_length_a 13.997
_cell_length_b 3.171
_cell_length_c 4.307
_cell_angle_alpha 90.00
_cell_angle_beta 98.39
_cell_angle_gamma 90.00
loop_
_symmetry_equiv_pos_as_xyz
'x,y,z'
'-x,-y,-z'
'-x,y,-z'
'x,-y,z'
'x+1/2,y+1/2,z'
'-x+1/2,-y+1/2,-z'
'-x+1/2,y+1/2,-z'
'x+1/2,-y+1/2,z'
loop_
_atom_site_label
_atom_site_fract_x
_atom_site_fract_y
_atom_site_fract_z
_atom_site_occupancy
Fe1 0.000 0.000 0.000 1
As1 0.000 0.500 0.500 1
Cl1 0.138 0.500 0.194 1
# Relative energy among the computed polymorphs ... 112 meV/atom
# N(E_F) ... 3.87 states/eV/f.u.



Asked for raw formation energy across the records above, the calculation gives 0.051, 0.303, -0.121 eV/atom in order.